Version one
VASP calculation (GGA-PBE) on a relaxed Cs2GePb crystal.

The crystal system is tetragonal. The value obtained for the calculated volume is 68.71 Å³ per atom. For the magnetic moment, the calculation gives 0.00 μB per formula unit.

a b c (Å): 10.4675 10.4675 10.4675
angles (deg): 93.77 93.77 150.28
With the nearest neighbours (Å) after each atom.
Positions (direct):
Cs1 0.3750 0.0603 0.1853  2 Ge 3.76
Cs2 0.8103 0.6250 0.6853  2 Ge 3.76
Cs3 0.8750 0.1897 0.8147  2 Ge 3.76
Cs4 0.9397 0.1250 0.3147  2 Ge 3.76
Ge1 0.0000 0.0000 0.0000  2 Pb 2.68
Ge2 0.7500 0.2500 0.5000  2 Pb 2.68
Pb1 0.2500 0.7500 0.5000  2 Ge 2.68
Pb2 0.5000 0.5000 0.0000  2 Ge 2.68

---

Version two
VASP calculation (GGA-PBE) on a relaxed Cs2GePb crystal.

The crystal system is cubic. The value obtained for the calculated volume is 46.88 Å³ per atom. For the magnetic moment, the calculation gives 0.02 μB per formula unit.

a b c (Å): 6.4245 6.4245 6.4245
angles (deg): 60.00 60.00 60.00
With the nearest neighbours (Å) after each atom.
Positions (direct):
Cs1 0.2500 0.2500 0.2500  4 Pb 3.93, 4 Ge 3.93
Cs2 0.7500 0.7500 0.7500  4 Pb 3.93, 4 Ge 3.93
Ge1 0.0000 0.0000 0.0000  8 Cs 3.93
Pb1 0.5000 0.5000 0.5000  8 Cs 3.93

---

We find version one to be the most stable, with the next structure 0.272 eV/atom higher.